(1)
This record from Alexandria describes a relaxed structure of Th5SnBi4. The functional is GGA-PBE.

Geometry as CIF:
```
data_Th5SnBi4
_cell_length_a 6.480
_cell_length_b 7.945
_cell_length_c 7.945
_cell_angle_alpha 80.43
_cell_angle_beta 65.93
_cell_angle_gamma 65.93
_symmetry_space_group_name_H-M 'P 1'
_symmetry_Int_Tables_number 1
loop_
_symmetry_equiv_pos_as_xyz
'x,y,z'
loop_
_atom_site_label
_atom_site_fract_x
_atom_site_fract_y
_atom_site_fract_z
Th1 0.902 0.391 0.808
Th2 0.293 0.808 0.609
Th3 0.709 0.192 0.391
Th4 0.100 0.609 0.192
Th5 0.501 0.000 0.000
Sn1 0.001 0.000 0.000
Bi1 0.405 0.399 0.794
Bi2 0.804 0.794 0.601
Bi3 0.198 0.206 0.399
Bi4 0.597 0.601 0.206
```

Calculated values
Spin magnetization = 0.00 μB per formula unit
Total DFT energy (no corrections) = -6.221 eV/atom
Crystal system = tetragonal
DFT formation energy = -0.559 eV/atom

(2)
This record from Alexandria describes a relaxed structure of Th3SnBi2. The functional is GGA-PBE.

Geometry as CIF:
```
data_Th3SnBi2
_cell_length_a 7.928
_cell_length_b 7.924
_cell_length_c 7.924
_cell_angle_alpha 119.84
_cell_angle_beta 99.62
_cell_angle_gamma 99.62
_symmetry_space_group_name_H-M 'P 1'
_symmetry_Int_Tables_number 1
loop_
_symmetry_equiv_pos_as_xyz
'x,y,z'
loop_
_atom_site_label
_atom_site_fract_x
_atom_site_fract_y
_atom_site_fract_z
Th1 0.003 0.184 0.343
Th2 0.503 0.343 0.184
Th3 0.000 0.500 0.000
Th4 0.997 0.816 0.657
Th5 0.500 0.000 0.500
Th6 0.497 0.657 0.816
Sn1 0.250 0.587 0.413
Sn2 0.750 0.413 0.587
Bi1 0.250 0.918 0.082
Bi2 0.250 0.245 0.755
Bi3 0.750 0.082 0.918
Bi4 0.750 0.755 0.245
```

Calculated values
Spin magnetization = 0.00 μB per formula unit
Total DFT energy (no corrections) = -6.231 eV/atom
Crystal system = monoclinic
DFT formation energy = -0.560 eV/atom

(3)
This record from Alexandria describes a relaxed structure of Th4Sn2Bi. The functional is GGA-PBE.

Geometry as CIF:
```
data_Th4Sn2Bi
_cell_length_a 4.730
_cell_length_b 6.038
_cell_length_c 17.075
_cell_angle_alpha 90.00
_cell_angle_beta 90.00
_cell_angle_gamma 113.06
_symmetry_space_group_name_H-M 'P 1'
_symmetry_Int_Tables_number 1
loop_
_symmetry_equiv_pos_as_xyz
'x,y,z'
loop_
_atom_site_label
_atom_site_fract_x
_atom_site_fract_y
_atom_site_fract_z
Th1 0.848 0.696 0.128
Th2 0.848 0.696 0.372
Th3 0.152 0.304 0.872
Th4 0.152 0.304 0.628
Th5 0.842 0.684 0.750
Th6 0.158 0.316 0.250
Th7 0.500 0.000 0.000
Th8 0.500 0.000 0.500
Sn1 0.169 0.339 0.434
Sn2 0.831 0.661 0.934
Sn3 0.169 0.339 0.066
Sn4 0.831 0.661 0.566
Bi1 0.544 0.089 0.750
Bi2 0.456 0.911 0.250
```

Calculated values
Spin magnetization = 0.00 μB per formula unit
Total DFT energy (no corrections) = -6.287 eV/atom
Crystal system = orthorhombic
DFT formation energy = -0.349 eV/atom

(4)
This record from Alexandria describes a relaxed structure of Th2Sn4Bi. The functional is GGA-PBE.

Geometry as CIF:
```
data_Th2Sn4Bi
_cell_length_a 4.484
_cell_length_b 4.484
_cell_length_c 10.731
_cell_angle_alpha 90.00
_cell_angle_beta 90.00
_cell_angle_gamma 90.00
_symmetry_space_group_name_H-M 'P 1'
_symmetry_Int_Tables_number 1
loop_
_symmetry_equiv_pos_as_xyz
'x,y,z'
loop_
_atom_site_label
_atom_site_fract_x
_atom_site_fract_y
_atom_site_fract_z
Th1 0.500 0.000 0.736
Th2 0.000 0.500 0.264
Sn1 0.500 0.000 0.213
Sn2 0.000 0.500 0.787
Sn3 0.500 0.500 0.500
Sn4 0.000 0.000 0.500
Bi1 0.500 0.500 0.000
```

Calculated values
Spin magnetization = 0.00 μB per formula unit
Total DFT energy (no corrections) = -5.292 eV/atom
Crystal system = tetragonal
DFT formation energy = -0.330 eV/atom

(5)
This record from Alexandria describes a relaxed structure of Th2SnBi3. The functional is GGA-PBE.

Geometry as CIF:
```
data_Th2SnBi3
_cell_length_a 4.508
_cell_length_b 4.508
_cell_length_c 9.357
_cell_angle_alpha 90.00
_cell_angle_beta 90.00
_cell_angle_gamma 90.00
_symmetry_space_group_name_H-M 'P 1'
_symmetry_Int_Tables_number 1
loop_
_symmetry_equiv_pos_as_xyz
'x,y,z'
loop_
_atom_site_label
_atom_site_fract_x
_atom_site_fract_y
_atom_site_fract_z
Th1 0.500 0.000 0.723
Th2 0.000 0.500 0.277
Sn1 0.500 0.500 0.000
Bi1 0.500 0.000 0.362
Bi2 0.000 0.500 0.638
Bi3 0.000 0.000 0.000
```

Calculated values
Spin magnetization = 0.00 μB per formula unit
Total DFT energy (no corrections) = -5.595 eV/atom
Crystal system = tetragonal
DFT formation energy = -0.514 eV/atom

(6)
This record from Alexandria describes a relaxed structure of ThSnBi. The functional is GGA-PBE.

Geometry as CIF:
```
data_ThSnBi
_cell_length_a 5.246
_cell_length_b 5.246
_cell_length_c 8.475
_cell_angle_alpha 90.00
_cell_angle_beta 90.00
_cell_angle_gamma 120.00
_symmetry_space_group_name_H-M 'P 1'
_symmetry_Int_Tables_number 1
loop_
_symmetry_equiv_pos_as_xyz
'x,y,z'
loop_
_atom_site_label
_atom_site_fract_x
_atom_site_fract_y
_atom_site_fract_z
Th1 0.000 0.000 0.784
Th2 0.000 0.000 0.216
Sn1 0.333 0.667 0.980
Sn2 0.667 0.333 0.020
Bi1 0.667 0.333 0.646
Bi2 0.333 0.667 0.354
```

Calculated values
Spin magnetization = 0.00 μB per formula unit
Total DFT energy (no corrections) = -5.313 eV/atom
Crystal system = trigonal
Relative energy among the computed polymorphs = 0.310 eV per atom
DFT formation energy = -0.212 eV/atom

- Number 2 is which compound?
  Th3SnBi2

- Which of these has the lowest total DFT energy (no corrections)?
  Th4Sn2Bi

- Among the records above, which one has the lowest total DFT energy (no corrections)?
  Th4Sn2Bi

- The highest DFT formation energy belongs to which entry?
  ThSnBi